Record 1
## YHoSnTe (PBE-GGA)

Data for YHoSnTe after structural relaxation.

Results
Formation energy without anion corrections: -4.2 eV per formula unit
Crystal system: trigonal
Space group: R3m (160)

Cell: 7.6362 7.6362 7.6362 Å, 33.34 33.34 33.34°
Last column: nearest neighbours and their distance in Å.
Fractional coordinates of all 4 atoms:
Y: 0.0000 0.0000 0.0000  3 Sn 3.06, 3 Te 3.17
Ho: 0.5090 0.5090 0.5090  3 Sn 3.04, 3 Te 3.16
Sn: 0.2539 0.2539 0.2539  3 Ho 3.04, 3 Y 3.06
Te: 0.7551 0.7551 0.7551  3 Ho 3.16, 3 Y 3.17



Record 2
## KCrPb2 (PBE-GGA)

Data for KCrPb2 after structural relaxation.

Results
Calculated formation energy: 0.408 eV/atom
E above lowest polymorph: 0.231 eV/atom
Crystal system: tetragonal
Space group: P4mm (99)

Cell: 3.9575 3.9575 8.2149 Å, 90.00 90.00 90.00°
Last column: nearest neighbours and their distance in Å.
Fractional coordinates of all 4 atoms:
K: 0.0000 0.0000 0.0000  5 Pb 3.73-3.80, 4 Cr 3.88, 4 K 3.96
Cr: 0.5000 0.5000 0.6732  5 Pb 2.95-2.99
Pb: 0.0000 0.0000 0.5459  4 Cr 2.99
Pb: 0.5000 0.5000 0.3136  1 Cr 2.95



Record 3
## LiNd2HoS4 (PBE-GGA)

Data for LiNd2HoS4 after structural relaxation.

Results
Formation energy without anion corrections: -15.3 eV per formula unit
Crystal system: monoclinic
Space group: P2/m (10)

Cell: 6.8383 3.9680 6.8807 Å, 90.00 109.40 90.00°
Last column: nearest neighbours and their distance in Å.
Fractional coordinates of all 8 atoms:
Li: 0.0000 0.0000 0.0000  6 S 2.71-2.74
Nd: 0.0000 0.5000 0.5000  6 S 2.86
Nd: 0.5000 0.0000 0.5000  6 S 2.87-2.89
Ho: 0.5000 0.5000 0.0000  6 S 2.74-2.75
S: 0.2438 0.5000 0.2333  2 Li 2.74, 1 Ho 2.74, 3 Nd 2.86-2.87
S: 0.2527 0.0000 0.7681  1 Li 2.71, 2 Ho 2.75, 3 Nd 2.86-2.89
S: 0.7473 0.0000 0.2319  1 Li 2.71, 2 Ho 2.75, 3 Nd 2.86-2.89
S: 0.7562 0.5000 0.7667  2 Li 2.74, 1 Ho 2.74, 3 Nd 2.86-2.87



Record 4
## KGa2Cl (PBE-GGA)

Data for KGa2Cl after structural relaxation.

Results
Formation energy without anion corrections: 0.1 eV per formula unit
E above lowest polymorph: 0.597 eV/atom
Crystal system: cubic
Space group: Fm-3m (225)

Cell: 5.4997 5.4997 5.4997 Å, 60.00 60.00 60.00°
Last column: nearest neighbours and their distance in Å.
Fractional coordinates of all 4 atoms:
K: 0.0000 0.0000 0.0000  8 Ga 3.37
Ga: 0.2500 0.2500 0.2500  4 Cl 3.37, 4 K 3.37
Ga: 0.7500 0.7500 0.7500  4 K 3.37, 4 Cl 3.37
Cl: 0.5000 0.5000 0.5000  8 Ga 3.37



Record 5
## SrEuMgAl (PBE-GGA)

Data for SrEuMgAl after structural relaxation.

Results
Calculated formation energy: -0.110 eV/atom
Crystal system: cubic
Space group: F-43m (216)

Cell: 5.6085 5.6085 5.6085 Å, 60.00 60.00 60.00°
Last column: nearest neighbours and their distance in Å.
Fractional coordinates of all 4 atoms:
Sr: 0.0000 0.0000 0.0000  4 Mg 3.43, 4 Al 3.43
Eu: 0.5000 0.5000 0.5000  4 Mg 3.43, 4 Al 3.43
Mg: 0.7500 0.7500 0.7500  4 Sr 3.43, 4 Eu 3.43
Al: 0.2500 0.2500 0.2500  4 Sr 3.43, 4 Eu 3.43



Record 6
## MgBC (PBE-GGA)

Data for MgBC after structural relaxation.

Results
Calculated formation energy: 0.089 eV/atom
E above lowest polymorph: 0.071 eV/atom
Crystal system: monoclinic
Space group: Cm (8)

Cell: 2.8459 2.8459 4.3177 Å, 108.47 108.47 60.10°
Last column: nearest neighbours and their distance in Å.
Fractional coordinates of all 3 atoms:
Mg: 0.0000 0.0000 0.0000  4 C 2.27-2.41, 3 B 2.52-2.53
B: 0.4879 0.4879 0.4768  3 C 1.65
C: 0.8089 0.8089 0.4355  3 B 1.65



Record 7
## AcTmSb2 (PBE-GGA)

Data for AcTmSb2 after structural relaxation.

Results
Formation energy without anion corrections: -3.3 eV per formula unit
E above lowest polymorph: 0.302 eV/atom
Crystal system: tetragonal
Space group: P4/mmm (123)

Cell: 4.0792 4.0792 7.1708 Å, 90.00 90.00 90.00°
Last column: nearest neighbours and their distance in Å.
Fractional coordinates of all 4 atoms:
Ac: 0.0000 0.0000 0.0000  8 Sb 3.50, 2 Tm 3.59
Tm: 0.0000 0.0000 0.5000  8 Sb 3.30, 2 Ac 3.59
Sb: 0.5000 0.5000 0.2765  1 Sb 3.21, 4 Tm 3.30, 4 Ac 3.50
Sb: 0.5000 0.5000 0.7235  1 Sb 3.21, 4 Tm 3.30, 4 Ac 3.50



Record 8
## La4IrI2Br (PBE-GGA)

Data for La4IrI2Br after structural relaxation.

Results
Formation energy without anion corrections: -8.8 eV per formula unit
Crystal system: monoclinic
Space group: P2/m (10)

Cell: 7.8194 4.2373 8.2477 Å, 90.00 107.06 90.00°
Last column: nearest neighbours and their distance in Å.
Fractional coordinates of all 8 atoms:
La: 0.2037 0.0000 0.1962  2 Ir 2.85, 1 Br 3.19
La: 0.2425 0.5000 0.7870  1 Ir 2.94, 2 Br 3.09
La: 0.7575 0.5000 0.2130  1 Ir 2.94, 2 Br 3.09
La: 0.7963 0.0000 0.8038  2 Ir 2.85, 1 Br 3.19
Ir: 0.0000 0.5000 0.0000  6 La 2.85-2.94
I: 0.0000 0.0000 0.5000  6 La 3.32-3.34
I: 0.5000 0.5000 0.5000  6 La 3.53-3.57
Br: 0.5000 0.0000 0.0000  6 La 3.09-3.19



Record 9
## PuZn2Hg (PBE-GGA)

Data for PuZn2Hg after structural relaxation.

Results
Calculated formation energy: -0.065 eV/atom
E above lowest polymorph: 0.000 eV/atom
Crystal system: cubic
Space group: Fm-3m (225)

Cell: 4.8732 4.8732 4.8732 Å, 60.00 60.00 60.00°
Last column: nearest neighbours and their distance in Å.
Fractional coordinates of all 4 atoms:
Pu: 0.0000 0.0000 0.0000  8 Zn 2.98
Zn: 0.2500 0.2500 0.2500  4 Hg 2.98, 4 Pu 2.98
Zn: 0.7500 0.7500 0.7500  4 Hg 2.98, 4 Pu 2.98
Hg: 0.5000 0.5000 0.5000  8 Zn 2.98



Record 10
## MgSb2W (PBE-GGA)

Data for MgSb2W after structural relaxation.

Results
Formation energy without anion corrections: 1.5 eV per formula unit
E above lowest polymorph: 0.134 eV/atom
Crystal system: monoclinic
Space group: Pm (6)

Cell: 3.5510 5.0242 5.2674 Å, 90.00 109.61 90.00°
Last column: nearest neighbours and their distance in Å.
Fractional coordinates of all 4 atoms:
Mg: 0.0000 0.0000 0.0000  3 Sb 2.74-2.84
Sb: 0.2774 0.0000 0.5524  3 Mg 2.74-2.84, 2 W 2.75
Sb: 0.6668 0.5000 0.3280  3 W 2.73-2.85
W: 0.3912 0.5000 0.7779  5 Sb 2.73-2.85



Record 11
## CePrIn4 (PBE-GGA)

Data for CePrIn4 after structural relaxation.

Results
Calculated formation energy: -0.376 eV/atom
E above lowest polymorph: 0.032 eV/atom
Crystal system: cubic
Space group: F-43m (216)

Cell: 6.1084 6.1084 6.1084 Å, 60.00 60.00 60.00°
Last column: nearest neighbours and their distance in Å.
Fractional coordinates of all 6 atoms:
Ce: 0.0000 0.0000 0.0000  12 In 3.58, 4 Pr 3.74
Pr: 0.2500 0.2500 0.2500  12 In 3.58, 4 Ce 3.74
In: 0.1245 0.6252 0.6252  6 In 3.05-3.06
In: 0.6252 0.1245 0.6252  6 In 3.05-3.06
In: 0.6252 0.6252 0.1245  6 In 3.05-3.06
In: 0.6252 0.6252 0.6252  6 In 3.05-3.06



Record 12
## HfAgAsBr2 (PBE-GGA)

Data for HfAgAsBr2 after structural relaxation.

Results
Formation energy without anion corrections: 3.4 eV per formula unit
E above lowest polymorph: 0.880 eV/atom
Crystal system: tetragonal
Space group: P4/mmm (123)

Cell: 5.0514 5.0514 5.2810 Å, 90.00 90.00 90.00°
Last column: nearest neighbours and their distance in Å.
Fractional coordinates of all 5 atoms:
Hf: 0.0000 0.0000 0.0000  4 As 3.57, 8 Br 3.65
Ag: 0.5000 0.5000 0.5000  4 Br 2.53, 2 As 2.64
As: 0.5000 0.5000 0.0000  2 Ag 2.64
Br: 0.0000 0.5000 0.5000  2 Ag 2.53
Br: 0.5000 0.0000 0.5000  2 Ag 2.53



Record 13
## Ba2TlPbSe5 (PBE-GGA)

Data for Ba2TlPbSe5 after structural relaxation.

Results
Formation energy without anion corrections: -9.5 eV per formula unit
Crystal system: orthorhombic
Space group: Cmc2_1 (36)

Cell: 10.1835 10.1835 13.0033 Å, 90.00 90.00 154.80°
Last column: nearest neighbours and their distance in Å.
Fractional coordinates of all 18 atoms:
Ba: 0.1116 0.8884 0.5000  8 Se 3.31-3.62
Ba: 0.1252 0.8748 0.1256  8 Se 3.33-3.67
Ba: 0.8748 0.1252 0.6256  8 Se 3.33-3.67
Ba: 0.8884 0.1116 0.0000  8 Se 3.31-3.62
Tl: 0.4383 0.5617 0.2656  4 Se 2.66-2.85
Tl: 0.5617 0.4383 0.7656  4 Se 2.66-2.85
Pb: 0.2239 0.7761 0.8398  5 Se 2.78-3.10
Pb: 0.7761 0.2239 0.3398  5 Se 2.78-3.10
Se: 0.0474 0.9526 0.8840  2 Tl 2.72
Se: 0.2787 0.7213 0.4933  2 Pb 2.99, 1 Ba 3.32
Se: 0.3064 0.6936 0.1805  1 Tl 2.85, 2 Pb 3.10
Se: 0.3628 0.6372 0.8155  1 Pb 2.78
Se: 0.4983 0.5017 0.5851  1 Tl 2.66
Se: 0.5017 0.4983 0.0851  1 Tl 2.66
Se: 0.6372 0.3628 0.3155  1 Pb 2.78
Se: 0.6936 0.3064 0.6805  1 Tl 2.85, 2 Pb 3.10
Se: 0.7213 0.2787 0.9933  2 Pb 2.99, 1 Ba 3.32
Se: 0.9526 0.0474 0.3840  2 Tl 2.72



Looking at total magnetic moment for the records above, in order, we have 0.00, 4.49, 0.00, 0.00, 6.98, 0.00, 0.00, 0.00, 5.59, 0.00, 1.20, 0.83, 0.00 Bohr magnetons per cell.
Looking at DOS(E_F) for the records above, in order, we have 1.08, 2.44, 2.59, 5.42, 11.32, 0.53, 2.47, 6.25, 10.79, 1.74, 9.72, 4.81, 7.49 states/eV/cell.
Looking at calculated volume for the records above, in order, we have 119.8, 128.7, 176.1, 117.6, 124.7, 28.2, 119.3, 261.2, 81.8, 88.5, 161.2, 134.8, 574.1 Å³ per cell.